1:
Computed, not measured: an optimized crystal structure of CoAuS2Cl at the PBE level of DFT.

## Properties
crystal system = tetragonal

a b c (Å): 4.883 4.883 4.846
angles (deg): 90.00 90.00 90.00
Element x y z (fractional)
Co  0.500  0.500  0.500
S  0.000  0.500  0.000
S  0.500  0.000  0.000
Au  0.000  0.000  0.000
Cl  0.000  0.000  0.500

=====

2:
Computed, not measured: an optimized crystal structure of CoAuS2Cl at the PBE level of DFT.

## Properties
crystal system = tetragonal

a b c (Å): 4.393 4.393 4.880
angles (deg): 90.00 90.00 90.00
Element x y z (fractional)
Co  0.000  0.000  0.000
S  0.000  0.500  0.000
S  0.500  0.000  0.000
Au  0.500  0.500  0.500
Cl  0.000  0.000  0.500

=====

Most stable structure, least stable structure: 2, 1.

=====

1:
Computed, not measured: an optimized crystal structure of Cr2Au2Cl at the PBE level of DFT.

## Properties
crystal system = tetragonal

a b c (Å): 6.040 6.040 4.544
angles (deg): 90.00 90.00 90.00
Element x y z (fractional)
Cr  0.390  0.890  0.000
Cr  0.890  0.610  0.000
Cr  0.610  0.110  0.000
Cr  0.110  0.390  0.000
Au  0.173  0.673  0.500
Au  0.673  0.827  0.500
Au  0.827  0.327  0.500
Au  0.327  0.173  0.500
Cl  0.000  0.000  0.000
Cl  0.500  0.500  0.000

=====

2:
Computed, not measured: an optimized crystal structure of Cr2Au2Cl at the PBE level of DFT.

## Properties
crystal system = tetragonal

a b c (Å): 7.843 7.843 2.911
angles (deg): 90.00 90.00 90.00
Element x y z (fractional)
Cr  0.084  0.584  0.500
Cr  0.584  0.916  0.500
Cr  0.916  0.416  0.500
Cr  0.416  0.084  0.500
Au  0.304  0.804  0.000
Au  0.804  0.696  0.000
Au  0.696  0.196  0.000
Au  0.196  0.304  0.000
Cl  0.000  0.000  0.000
Cl  0.500  0.500  0.000

=====

3:
Computed, not measured: an optimized crystal structure of Cr2Au2Cl at the PBE level of DFT.

## Properties
crystal system = tetragonal

a b c (Å): 3.944 3.944 6.524
angles (deg): 72.41 72.41 90.00
Element x y z (fractional)
Cr  0.426  0.426  0.148
Cr  0.574  0.574  0.852
Au  0.750  0.250  0.500
Au  0.250  0.750  0.500
Cl  0.000  0.000  0.000

=====

Most stable structure, least stable structure: 1, 3.